(1)
## BiP2CO (PBE)

Data for crystalline BiP2CO at its relaxed geometry.

Unit cell a=3.668 b=3.668 c=5.994 alpha=90.00 beta=90.00 gamma=90.00
Space group P4/mmm (No. 123)
One atom of each set of equivalent atoms:
Bi  0.000  0.000  0.000
P  0.000  0.500  0.500
C  0.500  0.500  0.500
O  0.500  0.500  0.000

## Properties
Uncorrected formation energy in eV per formula unit: 4.09
Fermi-level density of states in states/eV per cell: 1.468
V in Å³/atom: 16.1



(2)
## BiPC2O (PBE)

Data for crystalline BiPC2O at its relaxed geometry.

Unit cell a=4.521 b=4.521 c=4.140 alpha=90.00 beta=90.00 gamma=90.00
Space group P4/mmm (No. 123)
One atom of each set of equivalent atoms:
Bi  0.000  0.000  0.000
P  0.500  0.500  0.500
C  0.000  0.500  0.000
O  0.000  0.000  0.500

## Properties
Uncorrected formation energy in eV per formula unit: 12.04
Fermi-level density of states in states/eV per cell: 3.344
V in Å³/atom: 16.9